DFT (GGA-PBE) results for a relaxed structure of UTaAg.

Calculated values
space-group type	F-43m (216)
crystal system	cubic
formation energy from the elements	1.2642	eV per atom
polymorph energy (0 for the lowest one)	0.00	eV/f.u.
total magnetic moment	2.259	μB per formula unit

The structure in extended XYZ format:
```
3
Lattice="0.0000 3.2703 3.2703 3.2703 0.0000 3.2703 3.2703 3.2703 0.0000" Properties=species:S:1:pos:R:3 pbc="T T T"
Ag 0.0000 0.0000 0.0000
Ta 1.6351 1.6351 1.6351
U 4.9054 4.9054 4.9054
```